# Sr6Pt2Pb

Sr6Pt2Pb after structural relaxation (PBE-GGA, Alexandria via LeMat-Bulk).

Calculated values
Calculated density (g cm⁻³): 5.9
Density of states at the Fermi level (states/eV/cell): 12.78
Energy (eV per formula unit): -31.18
Formation enthalpy at 0 K (eV/atom): -0.589

a b c (Å): 9.3793 9.3793 9.3793
angles (deg): 113.77 110.18 104.59
With the nearest neighbours (Å) after each atom.
Atoms (fractional coordinates):
Sr1 0.0448 0.2416 0.8032  1 Pt 3.08
Sr2 0.1760 0.2872 0.4633  3 Pt 3.22-3.33, 1 Pb 3.50
Sr3 0.1760 0.7128 0.8888  3 Pt 3.22-3.33, 1 Pb 3.50
Sr4 0.3391 0.0193 0.6802  3 Pt 3.08-3.24
Sr5 0.3391 0.6590 0.3198  3 Pt 3.08-3.24
Sr6 0.4384 0.2416 0.1968  1 Pt 3.08
Sr7 0.5616 0.7584 0.8032  1 Pt 3.08
Sr8 0.6609 0.3410 0.6802  3 Pt 3.08-3.24
Sr9 0.6609 0.9807 0.3198  3 Pt 3.08-3.24
Sr10 0.8240 0.2872 0.1112  3 Pt 3.22-3.33, 1 Pb 3.50
Sr11 0.8240 0.7128 0.5367  3 Pt 3.22-3.33, 1 Pb 3.50
Sr12 0.9552 0.7584 0.1968  1 Pt 3.08
Pt1 0.1240 0.6240 0.5000  1 Pt 2.85, 2 Sr 3.08
Pt2 0.3219 0.0000 0.3219  8 Sr 3.08-3.33
Pt3 0.6781 0.0000 0.6781  8 Sr 3.08-3.33
Pt4 0.8760 0.3760 0.5000  1 Pt 2.85, 2 Sr 3.08
Pb1 0.0000 0.0000 0.0000  2 Pt 3.46, 8 Sr 3.49-3.50
Pb2 0.5000 0.5000 0.0000  8 Sr 3.64-3.76